Record 1
The following is a DFT calculation (PBE) of a relaxed CeEr2Ir9 crystal.

a = 5.3098 Å, b = 5.3098 Å, c = 26.2962 Å
α = 90.00°, β = 90.00°, γ = 120.00°
Last column: nearest neighbours and their distance in Å.
Space group R-3m (No. 166, hexagonal axes)
One atom of each set of equivalent atoms:
1 Ce 0.0000 0.0000 0.0000 [3 per cell]  6 Ir 3.07
2 Er 0.0000 0.0000 0.1399 [6 per cell]  12 Ir 3.05-3.29, 3 Er 3.37
3 Ir 0.0000 0.0000 0.3332 [6 per cell]  6 Ir 2.66-2.67
4 Ir 0.0000 0.0000 0.5000 [3 per cell]  6 Ir 2.68
5 Ir 0.9997 0.4999 0.0829 [18 per cell]  7 Ir 2.65-2.68

***

Record 2
The following is a DFT calculation (PBE) of a relaxed CaTaTl2 crystal.

a = 9.8441 Å, b = 3.2342 Å, c = 6.3530 Å
α = 90.00°, β = 97.71°, γ = 90.00°
Last column: nearest neighbours and their distance in Å.
Space group C2/m (No. 12)
One atom of each set of equivalent atoms:
1 Ca 0.0000 0.0000 0.0000 [2 per cell]  6 Tl 3.19-3.29, 2 Ca 3.23, 4 Ta 3.56
2 Ta 0.0000 0.5000 0.5000 [2 per cell]  6 Tl 3.03-3.09, 2 Ta 3.23
3 Tl 0.2461 0.0000 0.7216 [4 per cell]  3 Ta 3.03-3.09, 3 Ca 3.19-3.29, 4 Tl 3.23-3.26

***

Number 1: V 17.84 Å³/atom, magnetization 0.0 μB per formula unit, ΔH_f (0 K) -617 meV per atom. Number 2: V 25.05 Å³/atom, magnetization 0.9 μB per formula unit, ΔH_f (0 K) 358 meV per atom.